No. 1
# TiCuGe, optimized geometry, DFT GGA-PBE
# Formation energy: -0.407 eV per atom
# N(E_F): 14.94 states/eV per cell
data_TiCuGe
_chemical_formula_sum 'Ti6 Cu6 Ge6'
_cell_length_a 6.350
_cell_length_b 3.801
_cell_length_c 11.004
_cell_angle_alpha 90.00
_cell_angle_beta 90.95
_cell_angle_gamma 90.00
_space_group_name_H-M_alt 'P 1 21/m 1'
_space_group_IT_number 11
_space_group_name_Hall '-P 2yb'
loop_
_atom_site_label
_atom_site_type_symbol
_atom_site_fract_x
_atom_site_fract_y
_atom_site_fract_z
_atom_site_occupancy
Ti1 Ti 0.023 0.250 0.120 1
Ti2 Ti 0.160 0.250 0.419 1
Ti3 Ti 0.475 0.750 0.797 1
Cu1 Cu 0.138 0.250 0.701 1
Cu2 Cu 0.344 0.750 0.045 1
Cu3 Cu 0.496 0.750 0.409 1
Ge1 Ge 0.232 0.750 0.251 1
Ge2 Ge 0.256 0.750 0.585 1
Ge3 Ge 0.262 0.250 0.918 1

***

No. 2
# OsRuRh6, optimized geometry, DFT GGA-PBE
# Formation energy: 0.846 eV per atom
# N(E_F): 35.16 states/eV per cell
data_OsRuRh6
_chemical_formula_sum 'Os3 Ru3 Rh18'
_cell_length_a 7.3749
_cell_length_b 7.3749
_cell_length_c 8.7043
_cell_angle_alpha 90.00
_cell_angle_beta 90.00
_cell_angle_gamma 120.00
_space_group_name_H-M_alt 'R -3 m'
_space_group_IT_number 166
_space_group_name_Hall '-R 3 2"'
loop_
_atom_site_label
_atom_site_type_symbol
_atom_site_fract_x
_atom_site_fract_y
_atom_site_fract_z
_atom_site_occupancy
Os1 Os 0.0000 0.0000 0.0000 1
Ru1 Ru 0.0000 0.0000 0.5000 1
Rh1 Rh 0.0679 0.5339 0.8622 1

***

No. 3
# Dy2Mn2InRh5, optimized geometry, DFT GGA-PBE
# Formation energy: -0.459 eV per atom
# N(E_F): 13.42 states/eV per cell
data_Dy2Mn2InRh5
_chemical_formula_sum 'Dy4 Mn4 In2 Rh10'
_cell_length_a 9.613
_cell_length_b 9.613
_cell_length_c 3.742
_cell_angle_alpha 90.00
_cell_angle_beta 90.00
_cell_angle_gamma 90.00
_space_group_name_H-M_alt 'P 4/m b m'
_space_group_IT_number 127
_space_group_name_Hall '-P 4 2ab'
loop_
_atom_site_label
_atom_site_type_symbol
_atom_site_fract_x
_atom_site_fract_y
_atom_site_fract_z
_atom_site_occupancy
Dy1 Dy 0.178 0.322 0.000 1
Mn1 Mn 0.120 0.620 0.000 1
In1 In 0.000 0.000 0.000 1
Rh1 Rh 0.000 0.500 0.500 1
Rh2 Rh 0.067 0.789 0.500 1

***

What is the formation energy in the second record?
0.846 eV per atom

***

Number 1 is which compound?
TiCuGe

***

Among the records above, which one has the highest formation energy?
OsRuRh6

***

Which of these has the lowest formation energy?
Dy2Mn2InRh5